# 1
Density functional theory data (PBE) for a relaxed Fe3CuPd6 crystal.

Cell lengths 7.515, 12.594, 6.258 Å; angles 90.00, 90.00, 90.00 degrees
Space group Cmc2_1 (No. 36)
Inequivalent atoms, fractional coordinates:
Fe  0.000  0.112  0.000
Fe  0.167  0.370  0.542
Cu  0.000  0.323  0.901
Pd  0.000  0.233  0.307
Pd  0.000  0.461  0.202
Pd  0.187  0.041  0.359
Pd  0.187  0.179  0.681

Results
Calculated volume   14.81 Å³ per atom
Total DFT energy (no corrections)   -240.85 eV for the cell shown


# 2
Density functional theory data (PBE) for a relaxed BaSr2Li2 crystal.

Cell lengths 4.142, 4.142, 25.471 Å; angles 90.00, 90.00, 90.00 degrees
Space group I4/mmm (No. 139)
Inequivalent atoms, fractional coordinates:
Ba  0.000  0.000  0.000
Sr  0.000  0.000  0.368
Li  0.000  0.500  0.250

Results
Calculated volume   43.70 Å³ per atom
Total DFT energy (no corrections)   -17.48 eV for the cell shown


# 3
Density functional theory data (PBE) for a relaxed TaCd2Cl crystal.

Cell lengths 7.125, 7.125, 7.125 Å; angles 90.00, 90.00, 90.00 degrees
Space group Fm-3m (No. 225)
Inequivalent atoms, fractional coordinates:
Ta  0.000  0.000  0.000
Cd  0.250  0.250  0.250
Cl  0.000  0.000  0.500

Results
ΔE_f (raw)   895.4 meV per atom
Calculated volume   22.61 Å³ per atom


# 4
Density functional theory data (PBE) for a relaxed TbNd3Th3 crystal.

Cell lengths 9.6192, 9.6192, 5.9186 Å; angles 90.00, 90.00, 120.00 degrees
Space group P6_3/m (No. 176)
Inequivalent atoms, fractional coordinates:
Tb  0.3333  0.6667  0.2500
Nd  0.0444  0.2440  0.2500
Th  0.1045  0.4906  0.7500

Results
Calculated volume   33.88 Å³ per atom
Total DFT energy (no corrections)   -81.41 eV for the cell shown


# 5
Density functional theory data (PBE) for a relaxed Ba2PuBr6 crystal.

Cell lengths 7.386, 7.386, 14.560 Å; angles 90.00, 90.00, 90.00 degrees
Space group P4_2/mnm (No. 136)
Inequivalent atoms, fractional coordinates:
Ba  0.000  0.000  0.167
Pu  0.000  0.000  0.500
Br  0.190  0.190  0.343
Br  0.208  0.208  0.000

Results
ΔE_f (raw)   -1877.1 meV per atom
Calculated volume   44.13 Å³ per atom


# 6
Density functional theory data (PBE) for a relaxed MgZr2IrN crystal.

Cell lengths 4.478, 4.478, 4.025 Å; angles 90.00, 90.00, 90.00 degrees
Space group P4/mmm (No. 123)
Inequivalent atoms, fractional coordinates:
Mg  0.000  0.000  0.000
Zr  0.000  0.500  0.500
Ir  0.500  0.500  0.000
N  0.000  0.000  0.500

Results
ΔE_f (raw)   -854.8 meV per atom
Calculated volume   16.14 Å³ per atom


# 7
Density functional theory data (PBE) for a relaxed TbTiAs crystal.

Cell lengths 3.996, 3.996, 7.663 Å; angles 90.00, 90.00, 90.00 degrees
Space group P4/nmm (No. 129, origin choice 2)
Inequivalent atoms, fractional coordinates:
Tb  0.250  0.250  0.149
Ti  0.250  0.750  0.500
As  0.250  0.250  0.742

Results
Calculated volume   20.39 Å³ per atom
Total DFT energy (no corrections)   -40.33 eV for the cell shown


# 8
Density functional theory data (PBE) for a relaxed Al6Co7 crystal.

Cell lengths 4.7959, 4.7959, 24.5315 Å; angles 90.00, 90.00, 120.00 degrees
Space group R-3m (No. 166, hexagonal axes)
Inequivalent atoms, fractional coordinates:
Al  0.0000  0.0000  0.0518
Al  0.0000  0.0000  0.1559
Al  0.0000  0.0000  0.3345
Co  0.0000  0.0000  0.5000
Co  0.0051  0.5026  0.9120

Results
Calculated volume   12.53 Å³ per atom
Total DFT energy (no corrections)   -226.57 eV for the cell shown


# 9
Density functional theory data (PBE) for a relaxed Nd6TlPb5 crystal.

Cell lengths 5.133, 9.120, 8.128 Å; angles 90.00, 108.04, 90.00 degrees
Space group P2/m (No. 10)
Inequivalent atoms, fractional coordinates:
Nd  0.000  0.249  0.000
Nd  0.333  0.247  0.667
Tl  0.500  0.000  0.000
Pb  0.164  0.000  0.329
Pb  0.167  0.500  0.334
Pb  0.500  0.500  0.000

Results
Calculated volume   30.15 Å³ per atom
Total DFT energy (no corrections)   -55.49 eV for the cell shown


# 10
Density functional theory data (PBE) for a relaxed TeAs crystal.

Cell lengths 3.727, 4.897, 11.838 Å; angles 90.00, 90.00, 90.00 degrees
Space group Cmme (No. 67)
Inequivalent atoms, fractional coordinates:
Te  0.000  0.250  0.159
As  0.000  0.250  0.576

Results
ΔE_f (raw)   304.7 meV per atom
Calculated volume   27.01 Å³ per atom


# 11
Density functional theory data (PBE) for a relaxed RbNaZn2Ni crystal.

Cell lengths 4.835, 4.835, 5.411 Å; angles 90.00, 90.00, 90.00 degrees
Space group P4/mmm (No. 123)
Inequivalent atoms, fractional coordinates:
Rb  0.000  0.000  0.000
Na  0.500  0.500  0.000
Zn  0.000  0.500  0.500
Ni  0.500  0.500  0.500

Results
Calculated volume   25.30 Å³ per atom
Total DFT energy (no corrections)   -9.94 eV for the cell shown


# 12
Density functional theory data (PBE) for a relaxed La2ZnFe2Ni5 crystal.

Cell lengths 9.007, 9.007, 3.853 Å; angles 90.00, 90.00, 90.00 degrees
Space group P4/mbm (No. 127)
Inequivalent atoms, fractional coordinates:
La  0.190  0.310  0.000
Zn  0.000  0.000  0.000
Fe  0.109  0.609  0.000
Ni  0.000  0.500  0.500
Ni  0.056  0.788  0.500

Results
Calculated volume   15.63 Å³ per atom
Total DFT energy (no corrections)   -114.52 eV for the cell shown


# 13
Density functional theory data (PBE) for a relaxed RbCeAgI5 crystal.

Cell lengths 10.305, 13.902, 11.772 Å; angles 90.00, 112.69, 90.00 degrees
Space group C2/c (No. 15)
Inequivalent atoms, fractional coordinates:
Rb  0.000  0.143  0.250
Ce  0.000  0.500  0.000
Ag  0.000  0.190  0.750
I  0.000  0.415  0.250
I  0.120  0.297  0.609
I  0.189  0.067  0.941

Results
ΔE_f (raw)   -1100.1 meV per atom
Calculated volume   48.63 Å³ per atom


# 14
Density functional theory data (PBE) for a relaxed ZnCrOs2 crystal.

Cell lengths 2.816, 4.529, 8.750 Å; angles 90.00, 90.00, 90.00 degrees
Space group Cmmm (No. 65)
Inequivalent atoms, fractional coordinates:
Zn  0.000  0.000  0.000
Cr  0.000  0.000  0.500
Os  0.000  0.500  0.262

Results
Calculated volume   13.95 Å³ per atom
Total DFT energy (no corrections)   -64.43 eV for the cell shown


# 15
Density functional theory data (PBE) for a relaxed Li4YCo crystal.

Cell lengths 7.437, 7.437, 7.437 Å; angles 90.00, 90.00, 90.00 degrees
Space group F-43m (No. 216)
Inequivalent atoms, fractional coordinates:
Li  0.122  0.122  0.378
Y  0.000  0.000  0.000
Co  0.250  0.250  0.750

Results
Calculated volume   17.14 Å³ per atom
Total DFT energy (no corrections)   -78.21 eV for the cell shown


# 16
Density functional theory data (PBE) for a relaxed Ca2Al4ZnGa3 crystal.

Cell lengths 4.283, 4.283, 11.032 Å; angles 90.00, 90.00, 90.00 degrees
Space group P-4m2 (No. 115)
Inequivalent atoms, fractional coordinates:
Ca  0.000  0.500  0.244
Al  0.000  0.000  0.500
Al  0.000  0.500  0.867
Al  0.500  0.500  0.500
Zn  0.500  0.500  0.000
Ga  0.000  0.000  0.000
Ga  0.000  0.500  0.639

Results
Calculated volume   20.24 Å³ per atom
Total DFT energy (no corrections)   -32.42 eV for the cell shown


# 17
Density functional theory data (PBE) for a relaxed YHf2Ga6 crystal.

Cell lengths 4.144, 6.696, 12.912 Å; angles 90.00, 90.00, 90.00 degrees
Space group Immm (No. 71)
Inequivalent atoms, fractional coordinates:
Y  0.000  0.000  0.000
Hf  0.000  0.500  0.119
Ga  0.000  0.189  0.500
Ga  0.000  0.295  0.309

Results
Calculated volume   19.91 Å³ per atom
Total DFT energy (no corrections)   -95.97 eV for the cell shown


# 18
Density functional theory data (PBE) for a relaxed Pm2GePb crystal.

Cell lengths 6.235, 4.251, 8.916 Å; angles 90.00, 108.11, 90.00 degrees
Space group P2_1/m (No. 11)
Inequivalent atoms, fractional coordinates:
Pm  0.184  0.250  0.420
Pm  0.277  0.750  0.057
Ge  0.110  0.250  0.797
Pb  0.387  0.750  0.706

Results
Calculated volume   28.08 Å³ per atom
Total DFT energy (no corrections)   -41.12 eV for the cell shown


# 19
Density functional theory data (PBE) for a relaxed Na3Pu2CrN6 crystal.

Cell lengths 5.677, 9.837, 5.940 Å; angles 90.00, 108.37, 90.00 degrees
Space group C2/m (No. 12)
Inequivalent atoms, fractional coordinates:
Na  0.000  0.000  0.000
Na  0.000  0.341  0.000
Pu  0.000  0.167  0.500
Cr  0.000  0.500  0.500
N  0.224  0.338  0.686
N  0.236  0.000  0.685

Results
ΔE_f (raw)   -587.6 meV per atom
Calculated volume   13.12 Å³ per atom


# 20
Density functional theory data (PBE) for a relaxed AgSb2I crystal.

Cell lengths 4.353, 4.353, 25.635 Å; angles 90.00, 90.00, 90.00 degrees
Space group I-42d (No. 122)
Inequivalent atoms, fractional coordinates:
Ag  0.000  0.000  0.000
Sb  0.211  0.250  0.125
I  0.000  0.000  0.500

Results
ΔE_f (raw)   178.2 meV per atom
Calculated volume   30.36 Å³ per atom